Run w
A relaxed structure of LaBrCl2, computed with GGA-PBE.

Calculated values
D(E_F) ... 0.00 states/eV per atom

Cell lengths 7.4713, 7.4713, 7.4713 Å; angles 149.90, 137.04, 53.35 degrees
Closest atoms and distances in Å follow each position.
Positions (direct):
La 0.0000 0.0000 0.0000  4 Cl 2.81
Br 0.5000 0.5000 0.0000  4 La 3.35, 4 Cl 3.41
Cl 0.1519 0.6519 0.5000  2 La 2.81
Cl 0.8481 0.3481 0.5000  2 La 2.81

---

Run x
A relaxed structure of LaBrCl2, computed with GGA-PBE.

Calculated values
D(E_F) ... 0.00 states/eV per atom

Cell lengths 7.0806, 7.0806, 8.8529 Å; angles 90.00, 90.00, 145.62 degrees
Closest atoms and distances in Å follow each position.
Positions (direct):
La 0.2412 0.7588 0.7500  6 Cl 2.95-3.02, 2 Br 2.96
La 0.7588 0.2412 0.2500  6 Cl 2.95-3.02, 2 Br 2.96
Br 0.4139 0.5861 0.2500  2 La 2.96
Br 0.5861 0.4139 0.7500  2 La 2.96
Cl 0.1617 0.8383 0.0686  3 La 2.95-3.02, 1 Cl 3.21
Cl 0.1617 0.8383 0.4314  3 La 2.95-3.02, 1 Cl 3.21
Cl 0.8383 0.1617 0.5686  3 La 2.95-3.02, 1 Cl 3.21
Cl 0.8383 0.1617 0.9314  3 La 2.95-3.02, 1 Cl 3.21

---

Which of them is most stable, and which least? Most stable: run x; least stable: run w.

---

Run w
A relaxed structure of LaBrCl2, computed with GGA-PBE.

Calculated values
D(E_F) ... 0.62 states/eV per atom

Cell lengths 12.5173, 12.5173, 12.5173 Å; angles 19.77, 19.77, 19.77 degrees
Closest atoms and distances in Å follow each position.
Positions (direct):
La 0.0000 0.0000 0.0000  2 Cl 2.54
Br 0.5000 0.5000 0.5000  6 Br 4.30, 6 Cl 4.37
Cl 0.0690 0.0690 0.0690  1 La 2.54
Cl 0.9310 0.9310 0.9310  1 La 2.54

---

Run x
A relaxed structure of LaBrCl2, computed with GGA-PBE.

Calculated values
D(E_F) ... 0.00 states/eV per atom

Cell lengths 10.1033, 10.1033, 10.1033 Å; angles 150.28, 150.28, 42.53 degrees
Closest atoms and distances in Å follow each position.
Positions (direct):
La 0.0000 0.0000 0.0000  4 Cl 2.81
La 0.7500 0.2500 0.5000  4 Cl 2.81
Br 0.2500 0.7500 0.5000  4 Cl 3.22
Br 0.5000 0.5000 0.0000  4 Cl 3.22
Cl 0.0321 0.6250 0.9071  2 La 2.81, 2 Cl 3.06
Cl 0.3750 0.2821 0.4071  2 La 2.81, 2 Cl 3.06
Cl 0.7179 0.1250 0.0929  2 La 2.81, 2 Cl 3.06
Cl 0.8750 0.9679 0.5929  2 La 2.81, 2 Cl 3.06

---

Which of them is most stable, and which least? Most stable: run x; least stable: run w.

---

Run w
A relaxed structure of LaBrCl2, computed with GGA-PBE.

Cell lengths 4.6033, 4.6033, 4.6003 Å; angles 90.00, 90.00, 90.00 degrees
Closest atoms and distances in Å follow each position.
Positions (direct):
La 0.0000 0.0000 0.0000  8 Cl 3.25, 4 Br 3.26
Br 0.5000 0.5000 0.0000  8 Cl 3.25, 4 La 3.26
Cl 0.0000 0.5000 0.5000  4 Br 3.25, 4 La 3.25, 4 Cl 3.26
Cl 0.5000 0.0000 0.5000  4 Br 3.25, 4 La 3.25, 4 Cl 3.26

---

Run x
A relaxed structure of LaBrCl2, computed with GGA-PBE.

Calculated values
D(E_F) ... 0.00 states/eV per atom

Cell lengths 5.4417, 5.4417, 5.4417 Å; angles 128.49, 128.49, 75.83 degrees
Closest atoms and distances in Å follow each position.
Positions (direct):
La 0.0000 0.0000 0.0000  8 Cl 3.19, 4 Br 3.34
Br 0.5000 0.5000 0.0000  8 Cl 3.19, 4 La 3.34
Cl 0.2500 0.7500 0.5000  4 Br 3.19, 4 La 3.19, 4 Cl 3.34
Cl 0.7500 0.2500 0.5000  4 Br 3.19, 4 La 3.19, 4 Cl 3.34

---

Which of them is most stable, and which least? Most stable: run x; least stable: run w.

---

Run w
A relaxed structure of LaBrCl2, computed with GGA-PBE.

Calculated values
D(E_F) ... 0.20 states/eV per atom

Cell lengths 6.0778, 5.9146, 4.7380 Å; angles 68.55, 64.93, 46.52 degrees
Closest atoms and distances in Å follow each position.
Positions (direct):
La 0.0000 0.0000 0.0000  4 Cl 3.04, 2 Br 3.20
Br 0.5000 0.5000 0.5000  4 Cl 3.04, 2 La 3.20
Cl 0.0000 0.5000 0.5000  2 Br 3.04, 2 La 3.04, 2 Cl 3.20
Cl 0.5000 0.0000 0.0000  2 Br 3.04, 2 La 3.04, 2 Cl 3.20

---

Run x
A relaxed structure of LaBrCl2, computed with GGA-PBE.

Calculated values
D(E_F) ... 0.00 states/eV per atom

Cell lengths 8.0779, 8.0779, 8.0779 Å; angles 152.58, 143.13, 46.55 degrees
Closest atoms and distances in Å follow each position.
Positions (direct):
La 0.0000 0.0000 0.0000  2 Cl 2.81, 2 Br 2.97
Br 0.1527 0.6527 0.5000  2 La 2.97
Cl 0.4995 0.4995 0.0000  4 La 3.19, 2 Cl 3.27, 2 Br 3.42
Cl 0.8617 0.3617 0.5000  2 La 2.81

---

Run y
A relaxed structure of LaBrCl2, computed with GGA-PBE.

Calculated values
D(E_F) ... 0.00 states/eV per atom

Cell lengths 6.2765, 6.2765, 6.2765 Å; angles 45.14, 45.14, 45.14 degrees
Closest atoms and distances in Å follow each position.
Positions (direct):
La 0.0000 0.0000 0.0000  6 Cl 2.90
Br 0.5000 0.5000 0.5000  8 Cl 3.41-3.65
Cl 0.2840 0.2840 0.2840  3 La 2.90, 3 Cl 3.24
Cl 0.7160 0.7160 0.7160  3 La 2.90, 3 Cl 3.24

---

Run z
A relaxed structure of LaBrCl2, computed with GGA-PBE.

Cell lengths 4.0170, 4.0170, 7.5324 Å; angles 90.00, 90.00, 90.00 degrees
Closest atoms and distances in Å follow each position.
Positions (direct):
La 0.0000 0.0000 0.0000  1 Cl 2.56
Br 0.5000 0.5000 0.2620  1 Cl 3.09
Cl 0.0000 0.0000 0.6599  1 La 2.56
Cl 0.5000 0.5000 0.8525  4 La 3.05, 1 Br 3.09, 4 Cl 3.19

---

Which of them is most stable, and which least? Most stable: run x; least stable: run w.

---

Run w
A relaxed structure of LaBrCl2, computed with GGA-PBE.

Calculated values
D(E_F) ... 0.00 states/eV per atom

Cell lengths 5.9469, 5.9469, 7.1385 Å; angles 114.71, 114.71, 39.69 degrees
Closest atoms and distances in Å follow each position.
Positions (direct):
La 0.0000 0.0000 0.0000  4 Cl 2.81, 2 Br 3.08
Br 0.7084 0.7084 0.0006  3 La 3.08-3.26
Cl 0.3575 0.3575 0.7131  2 La 2.81
Cl 0.5185 0.5185 0.2849  2 La 2.81

---

Run x
A relaxed structure of LaBrCl2, computed with GGA-PBE.

Calculated values
D(E_F) ... 0.00 states/eV per atom

Cell lengths 4.3757, 7.5735, 7.5735 Å; angles 43.35, 90.00, 90.00 degrees
Closest atoms and distances in Å follow each position.
Positions (direct):
La 0.0000 0.0000 0.0000  4 Cl 2.80, 2 Br 2.97
Br 0.5000 0.1424 0.1424  2 La 2.97
Cl 0.0000 0.4965 0.4965  2 La 2.80
Cl 0.5000 0.8754 0.8754  2 La 2.80

---

Run y
A relaxed structure of LaBrCl2, computed with GGA-PBE.

Calculated values
D(E_F) ... 0.00 states/eV per atom

Cell lengths 5.1433, 5.1433, 5.1433 Å; angles 60.00, 60.00, 60.00 degrees
Closest atoms and distances in Å follow each position.
Positions (direct):
La 0.0000 0.0000 0.0000  8 Cl 3.15
Br 0.5000 0.5000 0.5000  8 Cl 3.15
Cl 0.2500 0.2500 0.2500  4 Br 3.15, 4 La 3.15
Cl 0.7500 0.7500 0.7500  4 Br 3.15, 4 La 3.15

---

Which of them is most stable, and which least? Most stable: run x; least stable: run y.

---

Run w
A relaxed structure of La2BrCl2, computed with GGA-PBE.

Calculated values
D(E_F) ... 0.40 states/eV per atom

Cell lengths 4.2314, 4.2314, 10.2515 Å; angles 90.30, 90.30, 59.84 degrees
Closest atoms and distances in Å follow each position.
Positions (direct):
La 0.1688 0.1688 0.1663  3 Cl 2.94-2.95, 3 Br 2.98
La 0.8312 0.8312 0.8337  3 Cl 2.94-2.95, 3 Br 2.98
Br 0.5000 0.5000 0.0000  6 La 2.98
Cl 0.1627 0.1627 0.6731  3 La 2.94-2.95
Cl 0.8373 0.8373 0.3269  3 La 2.94-2.95

---

Run x
A relaxed structure of La2BrCl2, computed with GGA-PBE.

Calculated values
D(E_F) ... 0.66 states/eV per atom

Cell lengths 7.0140, 7.0140, 8.4661 Å; angles 107.40, 107.40, 48.59 degrees
Closest atoms and distances in Å follow each position.
Positions (direct):
La 0.0071 0.0071 0.2793  4 Cl 2.88-2.97, 2 Br 3.05-3.11
La 0.3414 0.3414 0.4259  5 Cl 2.91-2.97, 1 Br 3.06
La 0.6586 0.6586 0.5741  5 Cl 2.91-2.97, 1 Br 3.06
La 0.9929 0.9929 0.7207  4 Cl 2.88-2.97, 2 Br 3.05-3.11
Br 0.1660 0.1660 0.0776  3 La 3.05-3.11
Br 0.8340 0.8340 0.9224  3 La 3.05-3.11
Cl 0.1839 0.1839 0.6111  5 La 2.88-2.97
Cl 0.4977 0.4977 0.2325  4 La 2.91-2.97
Cl 0.5023 0.5023 0.7675  4 La 2.91-2.97
Cl 0.8161 0.8161 0.3889  5 La 2.88-2.97

---

Run y
A relaxed structure of La2BrCl2, computed with GGA-PBE.

Calculated values
D(E_F) ... 0.98 states/eV per atom

Cell lengths 8.3814, 8.3814, 3.7004 Å; angles 90.00, 90.00, 90.00 degrees
Closest atoms and distances in Å follow each position.
Positions (direct):
La 0.1633 0.3367 0.0000  6 Cl 3.03-3.11, 2 Br 3.14
La 0.3367 0.8367 0.0000  6 Cl 3.03-3.11, 2 Br 3.14
La 0.6633 0.1633 0.0000  6 Cl 3.03-3.11, 2 Br 3.14
La 0.8367 0.6633 0.0000  6 Cl 3.03-3.11, 2 Br 3.14
Br 0.0000 0.0000 0.0000  4 La 3.14
Br 0.5000 0.5000 0.0000  4 La 3.14
Cl 0.1339 0.6339 0.5000  6 La 3.03-3.11, 1 Cl 3.18
Cl 0.3661 0.1339 0.5000  6 La 3.03-3.11, 1 Cl 3.18
Cl 0.6339 0.8661 0.5000  6 La 3.03-3.11, 1 Cl 3.18
Cl 0.8661 0.3661 0.5000  6 La 3.03-3.11, 1 Cl 3.18

---

Which of them is most stable, and which least? Most stable: run x; least stable: run y.

---

Run w
A relaxed structure of LaPBrCl2, computed with GGA-PBE.

Calculated values
D(E_F) ... 0.37 states/eV per atom

Cell lengths 5.4040, 5.4040, 6.2621 Å; angles 90.00, 90.00, 90.00 degrees
Closest atoms and distances in Å follow each position.
Positions (direct):
La 0.0000 0.0000 0.0000  4 Cl 2.70
P 0.0000 0.0000 0.5000  2 La 3.13
Br 0.5000 0.5000 0.5000  4 P 3.82, 8 Cl 4.14
Cl 0.0000 0.5000 0.0000  2 La 2.70
Cl 0.5000 0.0000 0.0000  2 La 2.70

---

Run x
A relaxed structure of LaPBrCl2, computed with GGA-PBE.

Calculated values
D(E_F) ... 1.10 states/eV per atom

Cell lengths 5.1776, 5.1776, 5.1238 Å; angles 90.00, 90.00, 90.00 degrees
Closest atoms and distances in Å follow each position.
Positions (direct):
La 0.0000 0.0000 0.0000  8 Cl 3.64, 4 P 3.66
P 0.5000 0.5000 0.0000  2 Br 2.56
Br 0.5000 0.5000 0.5000  2 P 2.56, 4 Cl 2.59
Cl 0.0000 0.5000 0.5000  2 Br 2.59
Cl 0.5000 0.0000 0.5000  2 Br 2.59

---

Which of them is most stable, and which least? Most stable: run w; least stable: run x.

---

Run w
A relaxed structure of LaSe2BrCl, computed with GGA-PBE.

Calculated values
D(E_F) ... 0.56 states/eV per atom

Cell lengths 5.2322, 5.2322, 4.9177 Å; angles 90.00, 90.00, 90.00 degrees
Closest atoms and distances in Å follow each position.
Positions (direct):
La 0.0000 0.0000 0.0000  8 Se 3.59, 4 Br 3.70
Se 0.0000 0.5000 0.5000  2 Cl 2.62
Se 0.5000 0.0000 0.5000  2 Cl 2.62
Br 0.5000 0.5000 0.0000  2 Cl 2.46
Cl 0.5000 0.5000 0.5000  2 Br 2.46, 4 Se 2.62

---

Run x
A relaxed structure of LaSe2BrCl, computed with GGA-PBE.

Calculated values
D(E_F) ... 0.72 states/eV per atom

Cell lengths 5.9790, 5.9790, 5.7446 Å; angles 90.00, 90.00, 90.00 degrees
Closest atoms and distances in Å follow each position.
Positions (direct):
La 0.0000 0.0000 0.0000  2 Br 2.87, 4 Se 2.99
Se 0.0000 0.5000 0.0000  2 La 2.99
Se 0.5000 0.0000 0.0000  2 La 2.99
Br 0.0000 0.0000 0.5000  2 La 2.87
Cl 0.5000 0.5000 0.5000  8 Se 4.15, 4 Br 4.23

---

Which of them is most stable, and which least? Most stable: run x; least stable: run w.

---

Run w
A relaxed structure of LiBrCl2, computed with GGA-PBE.

Calculated values
D(E_F) ... 0.64 states/eV per atom

Cell lengths 6.3646, 6.3646, 6.3646 Å; angles 144.70, 134.54, 58.83 degrees
Closest atoms and distances in Å follow each position.
Positions (direct):
Li 0.0000 0.0000 0.0000  4 Cl 2.48
Br 0.5000 0.5000 0.0000  4 Cl 2.91, 4 Li 3.13
Cl 0.1407 0.6407 0.5000  2 Li 2.48
Cl 0.8593 0.3593 0.5000  2 Li 2.48

---

Run x
A relaxed structure of LiBrCl2, computed with GGA-PBE.

Calculated values
D(E_F) ... 0.54 states/eV per atom

Cell lengths 3.2905, 3.2905, 9.4115 Å; angles 90.00, 90.00, 90.00 degrees
Closest atoms and distances in Å follow each position.
Positions (direct):
Li 0.0000 0.0000 0.0000  8 Cl 2.67
Br 0.0000 0.0000 0.5000  4 Br 3.29
Cl 0.5000 0.5000 0.1383  1 Cl 2.60, 4 Li 2.67
Cl 0.5000 0.5000 0.8617  1 Cl 2.60, 4 Li 2.67

---

Which of them is most stable, and which least? Most stable: run w; least stable: run x.

---

Run w
A relaxed structure of Li4Br3Cl, computed with GGA-PBE.

Calculated values
D(E_F) ... 0.00 states/eV per atom

Cell lengths 8.2689, 7.1773, 6.6206 Å; angles 90.00, 90.00, 90.00 degrees
Closest atoms and distances in Å follow each position.
Positions (direct):
Li 0.0000 0.1486 0.0000  1 Cl 2.40, 3 Br 2.56
Li 0.0000 0.8290 0.5230  1 Cl 2.40, 3 Br 2.54-2.55
Li 0.2406 0.6726 0.9987  1 Cl 2.41, 3 Br 2.56-2.57
Li 0.2594 0.3274 0.4987  1 Cl 2.41, 3 Br 2.56-2.57
Li 0.5000 0.1710 0.0230  1 Cl 2.40, 3 Br 2.54-2.55
Li 0.5000 0.8514 0.5000  1 Cl 2.40, 3 Br 2.56
Li 0.7406 0.3274 0.4987  1 Cl 2.41, 3 Br 2.56-2.57
Li 0.7594 0.6726 0.9987  1 Cl 2.41, 3 Br 2.56-2.57
Br 0.0000 0.1610 0.3870  4 Li 2.55-2.56
Br 0.2488 0.3318 0.8862  4 Li 2.54-2.57
Br 0.2512 0.6682 0.3862  4 Li 2.54-2.57
Br 0.5000 0.8390 0.8870  4 Li 2.55-2.56
Br 0.7488 0.6682 0.3862  4 Li 2.54-2.57
Br 0.7512 0.3318 0.8862  4 Li 2.54-2.57
Cl 0.0000 0.8306 0.8859  4 Li 2.40-2.41
Cl 0.5000 0.1694 0.3859  4 Li 2.40-2.41

---

Run x
A relaxed structure of Li4Br3Cl, computed with GGA-PBE.

Calculated values
D(E_F) ... 0.00 states/eV per atom

Cell lengths 5.4308, 5.4308, 5.4308 Å; angles 90.00, 90.00, 90.00 degrees
Closest atoms and distances in Å follow each position.
Positions (direct):
Li 0.0000 0.0000 0.0000  6 Br 2.72
Li 0.0000 0.5000 0.5000  2 Cl 2.72, 4 Br 2.72
Li 0.5000 0.0000 0.5000  2 Cl 2.72, 4 Br 2.72
Li 0.5000 0.5000 0.0000  2 Cl 2.72, 4 Br 2.72
Br 0.0000 0.0000 0.5000  6 Li 2.72
Br 0.0000 0.5000 0.0000  6 Li 2.72
Br 0.5000 0.0000 0.0000  6 Li 2.72
Cl 0.5000 0.5000 0.5000  6 Li 2.72

---

Which of them is most stable, and which least? Most stable: run w; least stable: run x.

---

Run w
A relaxed structure of LiBrCl4, computed with GGA-PBE.

Calculated values
D(E_F) ... 0.00 states/eV per atom

Cell lengths 7.0260, 8.0756, 8.1084 Å; angles 100.02, 102.55, 104.50 degrees
Closest atoms and distances in Å follow each position.
Positions (direct):
Li 0.2495 0.4954 0.0056  4 Cl 2.47
Li 0.7505 0.5046 0.9944  4 Cl 2.47
Br 0.2460 0.8587 0.6441  2 Cl 2.38
Br 0.7540 0.1413 0.3559  2 Cl 2.38
Cl 0.0779 0.7268 0.0264  1 Cl 2.37, 2 Li 2.47
Cl 0.1631 0.7908 0.3350  1 Cl 2.37, 1 Br 2.38
Cl 0.3384 0.1727 0.7131  1 Cl 2.36, 1 Br 2.38
Cl 0.4324 0.4838 0.7777  1 Cl 2.36, 2 Li 2.47
Cl 0.5676 0.5162 0.2223  1 Cl 2.36, 2 Li 2.47
Cl 0.6616 0.8273 0.2869  1 Cl 2.36, 1 Br 2.38
Cl 0.8369 0.2092 0.6650  1 Cl 2.37, 1 Br 2.38
Cl 0.9221 0.2732 0.9736  1 Cl 2.37, 2 Li 2.47

---

Run x
A relaxed structure of LiBrCl4, computed with GGA-PBE.

Calculated values
D(E_F) ... 1.21 states/eV per atom

Cell lengths 5.9197, 5.9197, 5.9197 Å; angles 60.00, 60.00, 60.00 degrees
Closest atoms and distances in Å follow each position.
Positions (direct):
Li 0.0000 0.0000 0.0000  12 Cl 3.47, 4 Br 3.63
Br 0.7500 0.7500 0.7500  12 Cl 3.47, 4 Li 3.63
Cl 0.3750 0.3750 0.3750  6 Cl 2.96
Cl 0.3750 0.3750 0.8750  6 Cl 2.96
Cl 0.3750 0.8750 0.3750  6 Cl 2.96
Cl 0.8750 0.3750 0.3750  6 Cl 2.96

---

Which of them is most stable, and which least? Most stable: run w; least stable: run x.